Below is a relaxed Y2ErGaN crystal, with properties calculated at the PBE level.

Computed properties:
formation energy (no corrections): -0.992 eV per atom
SG: P4/mmm
M_tot: 0.00 μB/f.u.

The structure in POSCAR format:
```
Y2ErGaN
1.0
-0.249 1.697 4.375
-2.675 -3.719 1.290
3.928 -2.422 1.163
Ga Y Er N
1 2 1 1
Cartesian
0.502 -2.222 3.414
-1.338 -1.860 0.645
1.964 -1.211 0.582
-0.125 0.848 2.187
0.000 0.000 0.000
```

Below is a relaxed AcTiS4 crystal, with properties calculated at the PBE level.

Computed properties:
formation energy (no corrections): -1.341 eV per atom
SG: C2/m
M_tot: 0.00 μB/f.u.

The structure in POSCAR format:
```
AcTiS4
1.0
-1.935 3.817 1.898
-3.231 -0.713 -7.633
-6.337 -5.146 3.886
S Ac Ti
8 2 2
Cartesian
-2.742 -1.684 0.591
-5.905 -1.219 2.203
-5.433 -2.195 -1.126
-6.070 0.153 -0.724
-4.424 2.111 -2.981
-7.079 -4.152 1.132
-5.597 -0.823 -4.053
-8.761 -0.358 -2.440
-8.252 -1.531 0.437
-3.250 -0.511 -2.287
-4.664 -3.000 1.278
-6.839 0.959 -3.127
```

Below is a relaxed Rb4TeI2 crystal, with properties calculated at the PBE level.

Computed properties:
polymorph energy (0 for the lowest one): 0 meV per atom
formation energy (no corrections): -1.241 eV per atom
SG: Pnma
M_tot: 0.00 μB/f.u.

The structure in POSCAR format:
```
Rb4TeI2
1.0
-0.875 -0.577 -5.092
-11.245 -9.478 3.005
-11.938 14.300 0.431
Rb I Te
16 8 4
Cartesian
-12.018 7.333 -2.747
-5.507 0.560 -0.444
-4.511 3.491 -3.601
-11.709 -7.587 1.544
-16.252 -0.763 -1.102
-9.073 -2.519 -2.137
-18.551 3.685 -1.212
-14.985 6.764 0.481
-7.805 5.008 -0.554
-12.040 -3.088 1.091
-12.348 11.832 -3.200
-8.080 -6.136 0.756
-9.858 1.669 0.177
-15.977 10.381 -2.412
-14.199 2.576 -1.833
-19.546 0.754 1.945
-8.487 7.515 -3.374
-12.214 -0.582 -1.817
-6.299 -2.902 0.084
-15.570 -3.270 1.718
-17.758 7.147 -1.740
-3.159 0.046 -3.443
-20.898 4.199 1.787
-11.843 4.827 0.161
-7.809 2.014 -2.867
-11.094 -5.525 -1.449
-12.963 9.770 -0.207
-16.249 2.231 1.212
```